VASP calculation (GGA-PBE) on a geometry-optimized AlZnIn2 structure.

Results
* calculated total energy: -2.51 eV/atom

a b c (Å): 3.314 3.314 7.988
angles (deg): 90.00 90.00 90.00
Sites, in units of the cell vectors:
In  0.500  0.500  0.288
Zn  0.000  0.000  0.536
Al  0.500  0.500  0.710
In  0.000  0.000  0.966

=====

VASP calculation (GGA-PBE) on a geometry-optimized TiAsPt2 structure.

Results
* calculated total energy: -6.35 eV/atom

a b c (Å): 5.604 5.604 6.996
angles (deg): 66.39 66.39 90.00
Sites, in units of the cell vectors:
Ti  0.250  0.750  0.500
Pt  0.875  0.888  0.750
Pt  0.112  0.625  0.250
As  0.000  0.000  0.000
Ti  0.500  0.500  0.000
As  0.750  0.250  0.500
Pt  0.638  0.125  0.250
Pt  0.375  0.362  0.750

=====

VASP calculation (GGA-PBE) on a geometry-optimized Zr2PaBi4 structure.

Results
* calculated total energy: -6.10 eV/atom

a b c (Å): 4.082 7.154 8.518
angles (deg): 112.25 103.87 90.00
Sites, in units of the cell vectors:
Bi  0.872  0.218  0.743
Zr  0.760  0.765  0.520
Bi  0.128  0.782  0.257
Bi  0.377  0.669  0.754
Zr  0.240  0.235  0.480
Bi  0.623  0.331  0.246
Pa  0.000  0.000  0.000

=====

VASP calculation (GGA-PBE) on a geometry-optimized NdSmCdIn structure.

Results
* calculated total energy: -3.70 eV/atom

a b c (Å): 5.445 5.445 5.445
angles (deg): 60.00 60.00 60.00
Sites, in units of the cell vectors:
Nd  0.000  0.000  0.000
In  0.250  0.250  0.250
Sm  0.500  0.500  0.500
Cd  0.750  0.750  0.750

=====

VASP calculation (GGA-PBE) on a geometry-optimized Na2YTl5 structure.

Results
* calculated total energy: -2.78 eV/atom

a b c (Å): 6.647 6.648 6.648
angles (deg): 105.78 105.78 117.14
Sites, in units of the cell vectors:
Y  0.778  0.778  0.000
Na  0.278  0.778  0.500
Na  0.778  0.278  0.500
Tl  0.778  0.778  0.500
Tl  0.278  0.277  0.000
Tl  0.278  0.278  0.500
Tl  0.278  0.778  0.000
Tl  0.778  0.278  0.000

=====

VASP calculation (GGA-PBE) on a geometry-optimized CaScInPd structure.

Results
* calculated total energy: -4.57 eV/atom

a b c (Å): 5.028 5.028 5.028
angles (deg): 60.00 60.00 60.00
Sites, in units of the cell vectors:
Sc  0.000  0.000  0.000
Pd  0.750  0.750  0.750
Ca  0.500  0.500  0.500
In  0.250  0.250  0.250